# 1
This record from Alexandria via LeMat-Bulk describes an optimized crystal structure of GaSF2. The functional is PBE.

It has space group R-3m (No. 166, hexagonal axes), with a = 3.0143 Å, b = 3.0143 Å, c = 22.9118 Å, α = 90.00°, β = 90.00° and γ = 120.00°. The distinct sites, in fractional coordinates, are Ga at (0.0000, 0.0000, 0.0000), S at (0.0000, 0.0000, 0.5000) and F at (0.0000, 0.0000, 0.4179).

The energy relative to the lowest polymorph listed for this composition comes out at 0.138 eV per atom. The value obtained for the final energy is -14.207 eV per formula unit. The formation energy from raw total energies is -0.828 eV/atom.

# 2
This record from Alexandria via LeMat-Bulk describes an optimized crystal structure of GaSF. The functional is PBE.

It has space group P1 (No. 1), with a = 3.662 Å, b = 3.663 Å, c = 5.715 Å, α = 71.40°, β = 71.53° and γ = 60.01°. The distinct sites, in fractional coordinates, are Ga at (0.000, 0.000, 0.000), S at (0.393, 0.394, 0.819) and F at (0.892, 0.889, 0.334).

The energy relative to the lowest polymorph listed for this composition comes out at 0.001 eV per atom. The value obtained for the final energy is -13.426 eV per formula unit. The formation energy from raw total energies is -1.467 eV/atom.

# 3
This record from Alexandria via LeMat-Bulk describes an optimized crystal structure of GaSF. The functional is PBE.

It has space group Pmn2_1 (No. 31), with a = 3.653 Å, b = 6.607 Å, c = 5.163 Å, α = 90.00°, β = 90.00° and γ = 90.00°. The distinct sites, in fractional coordinates, are Ga at (0.000, 0.132, 0.000), S at (0.000, 0.827, 0.228) and F at (0.000, 0.329, 0.237).

The energy relative to the lowest polymorph listed for this composition comes out at 0.001 eV per atom. The value obtained for the final energy is -13.426 eV per formula unit. The formation energy from raw total energies is -1.467 eV/atom.